1.
PBE-GGA TlTeBr2, optimized geometry; total moment = 0.00 μB per cell; formation energy (no corrections) = -0.22 eV/atom; E_tot = -2.44 eV/atom; theoretical density = 6.36 g/cm³
1.0
-1.7991 3.4726 5.1393
1.7991 -3.4726 5.1393
1.7991 3.4726 -5.1393
Tl Te Br
1 1 2
direct
0.0000 0.0000 0.0000
0.5000 0.5000 0.0000
0.2671 0.7671 0.5000
0.7329 0.2329 0.5000



2.
PBE-GGA Cs5Br, optimized geometry; total moment = 0.00 μB per cell; formation energy (no corrections) = -0.48 eV/atom; E_tot = -1.47 eV/atom; theoretical density = 1.99 g/cm³
1.0
2.5758 -14.1841 0.0000
2.5758 14.1841 0.0000
0.0000 0.0000 8.4892
Cs Br
5 1
direct
0.0000 0.0000 0.0000
0.0900 0.9100 0.5000
0.3290 0.6710 0.0000
0.6710 0.3290 0.0000
0.9100 0.0900 0.5000
0.5000 0.5000 0.5000



3.
PBE-GGA SiNiTeOs2, optimized geometry; total moment = 0.63 μB per cell; formation energy (no corrections) = 0.93 eV/atom; E_tot = -6.43 eV/atom; theoretical density = 11.40 g/cm³
1.0
4.5203 0.0000 0.0000
0.0000 4.5203 0.0000
0.0000 0.0000 4.2406
Si Ni Te Os
1 1 1 2
direct
0.0000 0.0000 0.0000
0.0000 0.0000 0.5000
0.5000 0.5000 0.5000
0.0000 0.5000 0.0000
0.5000 0.0000 0.0000



4.
PBE-GGA PmTlAg, optimized geometry; total moment = 0.00 μB per cell; E_tot = -3.49 eV/atom; energy relative to the elements = -0.168 eV per atom; theoretical density = 9.89 g/cm³
1.0
-1.8121 1.8121 5.8432
1.8121 -1.8121 5.8432
1.8121 1.8121 -5.8432
Pm Tl Ag
1 1 1
direct
0.0000 0.0000 0.0000
0.3106 0.3106 0.0000
0.6654 0.6654 0.0000



5.
PBE-GGA NaSrBi, optimized geometry; total moment = 0.00 μB per cell; E_tot = -2.83 eV/atom; energy relative to the elements = -0.532 eV per atom; theoretical density = 4.92 g/cm³
1.0
5.1787 0.0000 0.0000
-2.5894 4.4849 0.0000
0.0000 0.0000 4.6406
Na Sr Bi
1 1 1
direct
0.0000 0.0000 0.0000
0.3333 0.6667 0.4904
0.6667 0.3333 0.9464



6.
PBE-GGA LaTbNd2Tm5, optimized geometry; total moment = 0.00 μB per cell; E_tot = -4.35 eV/atom; energy relative to the elements = 0.251 eV per atom; theoretical density = 8.20 g/cm³
1.0
-4.3110 4.3110 7.7985
4.3110 -4.3110 7.7985
4.3110 4.3110 -7.7985
La Tb Nd Tm
2 2 4 10
direct
0.2500 0.7500 0.5000
0.7500 0.2500 0.5000
0.2500 0.2500 0.0000
0.7500 0.7500 0.0000
0.1182 0.6182 0.7365
0.3818 0.1182 0.5000
0.6182 0.8818 0.5000
0.8818 0.3818 0.2635
0.0000 0.0000 0.0000
0.0710 0.1530 0.5000
0.1530 0.6530 0.0820
0.3470 0.4290 0.5000
0.4290 0.9290 0.0820
0.5000 0.5000 0.0000
0.5710 0.0710 0.9180
0.6530 0.5710 0.5000
0.8470 0.3470 0.9180
0.9290 0.8470 0.5000



7.
PBE-GGA NaTaSbMo2, optimized geometry; total moment = 1.04 μB per cell; formation energy (no corrections) = 1.90 eV/atom; E_tot = -5.89 eV/atom; theoretical density = 7.37 g/cm³
1.0
4.9631 0.0000 0.0000
0.0000 4.9631 0.0000
0.0000 0.0000 4.7342
Na Ta Sb Mo
1 1 1 2
direct
0.0000 0.0000 0.0000
0.5000 0.5000 0.0000
0.0000 0.0000 0.5000
0.0000 0.5000 0.5000
0.5000 0.0000 0.5000



8.
PBE-GGA Cd2Rh3, optimized geometry; total moment = 1.16 μB per cell; E_tot = -4.30 eV/atom; energy relative to the elements = 0.474 eV per atom; theoretical density = 9.59 g/cm³
1.0
4.3895 0.0000 0.0000
-2.1947 3.8014 0.0000
0.0000 0.0000 5.5342
Cd Rh
2 3
direct
0.3333 0.6667 0.3374
0.6667 0.3333 0.6626
0.0000 0.0000 0.5000
0.3333 0.6667 0.8591
0.6667 0.3333 0.1409



9.
PBE-GGA GeSb2Pb, optimized geometry; total moment = 0.00 μB per cell; formation energy (no corrections) = 0.13 eV/atom; E_tot = -4.01 eV/atom; theoretical density = 7.65 g/cm³
1.0
2.0512 1.1843 7.7948
-2.0512 1.1843 7.7948
0.0000 -2.3685 7.7948
Ge Sb Pb
1 2 1
direct
0.0000 0.0000 0.0000
0.4054 0.4054 0.4054
0.5963 0.5963 0.5963
0.1678 0.1678 0.1678



10.
PBE-GGA CaLa2YPt, optimized geometry; total moment = 0.00 μB per cell; E_tot = -5.26 eV/atom; energy relative to the elements = -0.388 eV per atom; theoretical density = 5.35 g/cm³
1.0
5.7196 0.0000 0.0000
0.0000 5.7196 0.0000
0.0000 0.0000 5.7141
Ca La Y Pt
1 2 1 1
direct
0.0000 0.0000 0.0000
0.0000 0.5000 0.5000
0.5000 0.0000 0.5000
0.5000 0.5000 0.0000
0.5000 0.5000 0.5000



11.
PBE-GGA CaAc5Sm, optimized geometry; total moment = 0.00 μB per cell; E_tot = -3.66 eV/atom; energy relative to the elements = 0.230 eV per atom; theoretical density = 6.89 g/cm³
1.0
5.8797 0.0000 0.0000
0.0000 5.8797 0.0000
0.0000 0.0000 9.2420
Ca Ac Sm
1 5 1
direct
0.0000 0.0000 0.0000
0.0000 0.5000 0.2848
0.0000 0.5000 0.7152
0.5000 0.0000 0.2848
0.5000 0.0000 0.7152
0.5000 0.5000 0.0000
0.0000 0.0000 0.5000



12.
PBE-GGA SmV2C, optimized geometry; total moment = 0.00 μB per cell; E_tot = -7.60 eV/atom; energy relative to the elements = 0.440 eV per atom; theoretical density = 7.47 g/cm³
1.0
2.9859 0.0000 0.0000
0.0000 2.9859 0.0000
0.0000 0.0000 6.5925
Sm V C
1 2 1
direct
0.0000 0.0000 0.0000
0.5000 0.5000 0.3505
0.5000 0.5000 0.6495
0.0000 0.0000 0.5000